Record 1
The following is a PBE calculation of Cs2PuS3 after structural relaxation, from Alexandria via LeMat-Bulk.

## Properties
uncorrected formation energy	-1.21	eV/atom
M_tot	4.0	μB/f.u.
DOS(E_F)	34.44	states/eV/cell
electronic total energy	-142.75	eV/cell

Cell: 9.2126 13.2623 7.1737 Å, 90.00 116.35 90.00°
Last column: nearest neighbours and their distance in Å.
Space group C2/c (No. 15)
Inequivalent atoms, fractional coordinates:
Cs1 0.0000 0.0706 0.2500 [4 per cell]  4 S 3.24-3.30
Cs2 0.0000 0.2280 0.7500 [4 per cell]  6 S 3.36-3.58
Pu1 0.0000 0.4131 0.2500 [4 per cell]  4 S 2.67-2.70
S1 0.1614 0.4395 0.0225 [8 per cell]  2 Pu 2.67-2.70
S2 0.2500 0.2500 0.5000 [4 per cell]  2 Pu 3.09, 2 Cs 3.24

***

Record 2
The following is a PBE calculation of Cs2PuS4 after structural relaxation, from Alexandria via LeMat-Bulk.

## Properties
uncorrected formation energy	-0.80	eV/atom
M_tot	2.0	μB/f.u.
DOS(E_F)	9.83	states/eV/cell
electronic total energy	-38.16	eV/cell

Cell: 8.1923 8.1923 4.6394 Å, 90.00 90.00 90.00°
Last column: nearest neighbours and their distance in Å.
Space group P4/mmm (No. 123)
Inequivalent atoms, fractional coordinates:
Cs1 0.0000 0.5000 0.0000 [2 per cell]  8 S 3.74
Pu1 0.0000 0.0000 0.5000 [1 per cell]  4 S 2.45
S1 0.2116 0.2116 0.5000 [4 per cell]  1 Pu 2.45

***

Record 3
The following is a PBE calculation of CsPuS4 after structural relaxation, from Alexandria via LeMat-Bulk.

## Properties
uncorrected formation energy	-0.97	eV/atom
M_tot	3.0	μB/f.u.
DOS(E_F)	28.84	states/eV/cell
electronic total energy	-150.03	eV/cell

Cell: 14.6749 7.6131 7.2987 Å, 90.00 97.63 90.00°
Last column: nearest neighbours and their distance in Å.
Space group C2/m (No. 12)
Inequivalent atoms, fractional coordinates:
Cs1 0.1991 0.0000 0.1947 [4 per cell]  10 S 3.72-4.10
Pu1 0.0388 0.5000 0.2646 [4 per cell]  5 S 2.46-2.70
S1 0.0000 0.2757 0.0000 [4 per cell]  2 Pu 2.58
S2 0.0698 0.2620 0.5402 [8 per cell]  1 S 2.06
S3 0.2061 0.5000 0.2575 [4 per cell]  1 Pu 2.46